Material: TcMo2
Method: DFT, PBE-GGA
State: relaxed

* energy of formation from the pure elements: 0.8 eV/f.u.
* distance to the lowest polymorph of the same formula: 22.0 kJ per mole of atoms

```
data_TcMo2
_chemical_formula_sum 'Tc2 Mo4'
_space_group_name_H-M_alt 'P -6 m 2'
_space_group_IT_number 187
_space_group_name_Hall 'P -6 2'
_cell_length_a 2.7947
_cell_length_b 2.7947
_cell_length_c 13.8060
_cell_angle_alpha 90.00
_cell_angle_beta 90.00
_cell_angle_gamma 120.00
loop_
_atom_site_label
_atom_site_type_symbol
_atom_site_fract_x
_atom_site_fract_y
_atom_site_fract_z
Tc1 Tc 0.0000 0.0000 0.1639
Mo1 Mo 0.0000 0.0000 0.5000
Mo2 Mo 0.3333 0.6667 0.0000
Mo3 Mo 0.3333 0.6667 0.3242
```

Material: TcTe2Mo
Method: DFT, PBE-GGA
State: relaxed

* formation energy (no corrections): 0.26 eV per atom
* distance to the lowest polymorph of the same formula: 17.4 kJ per mole of atoms

```
data_TcTe2Mo
_chemical_formula_sum 'Tc3 Te6 Mo3'
_space_group_name_H-M_alt 'R 3 m'
_space_group_IT_number 160
_space_group_name_Hall 'R 3 -2"'
_cell_length_a 3.2344
_cell_length_b 3.2344
_cell_length_c 31.2279
_cell_angle_alpha 90.00
_cell_angle_beta 90.00
_cell_angle_gamma 120.00
loop_
_atom_site_label
_atom_site_type_symbol
_atom_site_fract_x
_atom_site_fract_y
_atom_site_fract_z
Tc1 Tc 0.0000 0.0000 0.0000
Te1 Te 0.0000 0.0000 0.2733
Te2 Te 0.0000 0.0000 0.4668
Mo1 Mo 0.0000 0.0000 0.7375
```

Material: TcTeMo2
Method: DFT, PBE-GGA
State: relaxed

* formation energy (no corrections): 0.48 eV per atom

```
data_TcTeMo2
_chemical_formula_sum 'Tc3 Te3 Mo6'
_space_group_name_H-M_alt 'R -3 m'
_space_group_IT_number 166
_space_group_name_Hall '-R 3 2"'
_cell_length_a 3.0242
_cell_length_b 3.0242
_cell_length_c 26.0268
_cell_angle_alpha 90.00
_cell_angle_beta 90.00
_cell_angle_gamma 120.00
loop_
_atom_site_label
_atom_site_type_symbol
_atom_site_fract_x
_atom_site_fract_y
_atom_site_fract_z
Tc1 Tc 0.0000 0.0000 0.0000
Te1 Te 0.0000 0.0000 0.5000
Mo1 Mo 0.0000 0.0000 0.2536
```

Material: TcTe2Mo
Method: DFT, PBE-GGA
State: relaxed

* formation energy (no corrections): 0.33 eV per atom
* distance to the lowest polymorph of the same formula: 23.9 kJ per mole of atoms

```
data_TcTe2Mo
_chemical_formula_sum 'Tc1 Te2 Mo1'
_space_group_name_H-M_alt 'P 4/m m m'
_space_group_IT_number 123
_space_group_name_Hall '-P 4 2'
_cell_length_a 3.319
_cell_length_b 3.319
_cell_length_c 6.624
_cell_angle_alpha 90.00
_cell_angle_beta 90.00
_cell_angle_gamma 90.00
loop_
_atom_site_label
_atom_site_type_symbol
_atom_site_fract_x
_atom_site_fract_y
_atom_site_fract_z
Tc1 Tc 0.000 0.000 0.000
Te1 Te 0.500 0.500 0.251
Mo1 Mo 0.000 0.000 0.500
```

Material: Tc2Te2Mo
Method: DFT, PBE-GGA
State: relaxed

* formation energy (no corrections): 0.92 eV per atom

```
data_Tc2Te2Mo
_chemical_formula_sum 'Tc4 Te4 Mo2'
_space_group_name_H-M_alt 'I 4/m m m'
_space_group_IT_number 139
_space_group_name_Hall '-I 4 2'
_cell_length_a 4.515
_cell_length_b 4.515
_cell_length_c 10.444
_cell_angle_alpha 90.00
_cell_angle_beta 90.00
_cell_angle_gamma 90.00
loop_
_atom_site_label
_atom_site_type_symbol
_atom_site_fract_x
_atom_site_fract_y
_atom_site_fract_z
Tc1 Tc 0.000 0.500 0.250
Te1 Te 0.000 0.000 0.133
Mo1 Mo 0.000 0.000 0.500
```

Material: TcTeMo2
Method: DFT, PBE-GGA
State: relaxed

* formation energy (no corrections): 0.41 eV per atom

```
data_TcTeMo2
_chemical_formula_sum 'Tc1 Te1 Mo2'
_space_group_name_H-M_alt 'P 1 m 1'
_space_group_IT_number 6
_space_group_name_Hall 'P -2y'
_cell_length_a 3.021
_cell_length_b 4.335
_cell_length_c 5.385
_cell_angle_alpha 90.00
_cell_angle_beta 104.01
_cell_angle_gamma 90.00
loop_
_atom_site_label
_atom_site_type_symbol
_atom_site_fract_x
_atom_site_fract_y
_atom_site_fract_z
Tc1 Tc 0.000 0.000 0.000
Te1 Te 0.027 0.500 0.287
Mo1 Mo 0.346 0.500 0.795
Mo2 Mo 0.626 0.000 0.532
```

Summary of Fermi-level density of states in states/eV/atom
1.4861, 0.9231, 1.2000, 0.9937, 0.6892, 0.9383
(order as listed above)
Summary of calculated density in g cm⁻³
10.31, 7.91, 10.09, 10.22, 8.54, 10.13
(order as listed above)
Summary of total magnetic moment in μB per formula unit
0.0, 0.0, 0.0, 0.0, 3.3, 0.0
(order as listed above)